# Pm2ScNi9 PBE optimized geometry
data_Pm2ScNi9
_symmetry_space_group_name_H-M 'P 63/m m c'
_symmetry_Int_Tables_number 194
_symmetry_space_group_name_Hall '-P 6c 2c'
_cell_length_a 4.9329
_cell_length_b 4.9329
_cell_length_c 16.4747
_cell_angle_alpha 90.00
_cell_angle_beta 90.00
_cell_angle_gamma 120.00
loop_
_atom_site_label
_atom_site_type_symbol
_atom_site_fract_x
_atom_site_fract_y
_atom_site_fract_z
Pm1 Pm 0.3333 0.6667 0.0450
Sc1 Sc 0.3333 0.6667 0.2500
Ni1 Ni 0.0000 0.0000 0.0000
Ni2 Ni 0.0000 0.0000 0.2500
Ni3 Ni 0.1665 0.3329 0.6309
Ni4 Ni 0.3333 0.6667 0.7500
# M_tot = 0.088 μB/atom
# Theoretical density = 8.3 Mg/m³
# DFT formation energy = -0.33 eV per atom
# N(E_F) = 28.90 states/eV/cell
# DFT total energy = -5.981 eV per atom